(1)
The following is a PBE calculation of a relaxed AlO2F2 crystal, from the Alexandria database.

Output
Electronic total energy = -25.2 eV for the cell shown
Uncorrected formation energy = -7.8 eV/f.u.

Lattice parameters (Å, degrees): 3.653 3.653 3.832 90.00 90.00 90.00
Space group P4/mmm (No. 123)
One atom of each set of equivalent atoms:
Al 0.000 0.000 0.000 [1 per cell]
O 0.000 0.000 0.500 [1 per cell]
O 0.500 0.500 0.500 [1 per cell]
F 0.000 0.500 0.000 [2 per cell]

***

(2)
The following is a PBE calculation of a relaxed TcCl crystal, from the Alexandria database.

Output
Excess energy over the best structure of this formula in the dataset = 128.65 kJ per mole of atoms
Electronic total energy = -39.2 eV for the cell shown
Uncorrected formation energy = 2.4 eV/f.u.

Lattice parameters (Å, degrees): 5.287 5.287 5.287 90.00 90.00 90.00
Space group Fm-3m (No. 225)
One atom of each set of equivalent atoms:
Tc 0.000 0.000 0.000 [4 per cell]
Cl 0.000 0.000 0.500 [4 per cell]

***

(3)
The following is a PBE calculation of a relaxed LiRe2Ru crystal, from the Alexandria database.

Output
Formation enthalpy at 0 K = 359 meV per atom
Excess energy over the best structure of this formula in the dataset = 22.38 kJ per mole of atoms
Electronic total energy = -69.3 eV for the cell shown

Lattice parameters (Å, degrees): 2.845 4.487 9.275 90.00 90.00 90.00
Space group Cmmm (No. 65)
One atom of each set of equivalent atoms:
Li 0.000 0.000 0.000 [2 per cell]
Re 0.000 0.500 0.257 [4 per cell]
Ru 0.000 0.000 0.500 [2 per cell]

***

(4)
The following is a PBE calculation of a relaxed LuThAgAu crystal, from the Alexandria database.

Output
Formation enthalpy at 0 K = -425 meV per atom
Electronic total energy = -79.1 eV for the cell shown

Lattice parameters (Å, degrees): 7.310 7.310 7.310 90.00 90.00 90.00
Space group F-43m (No. 216)
One atom of each set of equivalent atoms:
Lu 0.000 0.000 0.000 [4 per cell]
Th 0.000 0.000 0.500 [4 per cell]
Ag 0.250 0.250 0.750 [4 per cell]
Au 0.250 0.250 0.250 [4 per cell]